Compound: Cr2RuN
Source: Alexandria
Functional: PBE
Structure: relaxed

```
4
Lattice="-1.1763 1.5565 -2.0274 -2.8016 0.1333 -0.2246 -1.3994 5.5740 3.1388" Properties=species:S:1:pos:R:3 pbc="T T T"
Ru -2.6887 3.6319 0.4434
N 0.0000 0.0000 0.0000
Cr -1.3380 1.3833 -0.1142
Cr -4.0393 5.8805 1.0009
```

Values from the calculation:
Energy relative to the elements, uncorrected = -0.20 eV/atom
E = -37.6 eV for the cell shown
M_tot = 0.000 μB per atom